No. 1
Here is a geometry-optimized PmPr2Ho2 structure from Alexandria via LeMat-Bulk. Energies are from PBE.

```
data_PmPr2Ho2
_space_group_name_H-M_alt 'C 1 2/m 1'
_space_group_IT_number 12
_cell_length_a 6.271
_cell_length_b 3.620
_cell_length_c 14.832
_cell_angle_alpha 90.00
_cell_angle_beta 90.16
_cell_angle_gamma 90.00
loop_
_space_group_symop_operation_xyz
'x,y,z'
'-x,-y,-z'
'-x,y,-z'
'x,-y,z'
'x+1/2,y+1/2,z'
'-x+1/2,-y+1/2,-z'
'-x+1/2,y+1/2,-z'
'x+1/2,-y+1/2,z'
loop_
_atom_site_label
_atom_site_fract_x
_atom_site_fract_y
_atom_site_fract_z
_atom_site_occupancy
Pm1 0.000 0.000 0.000 1
Pr1 0.169 0.500 0.394 1
Ho1 0.165 0.500 0.804 1
```

Output
Formation energy from the elements in eV/atom: 0.025
ΔE to the lowest computed polymorph in meV per atom: 0.0
Uncorrected energy in eV for the cell shown: -46.68
Theoretical density in Mg/m³: 7.463


No. 2
Here is a geometry-optimized Pm12Pr5Ho2 structure from Alexandria via LeMat-Bulk. Energies are from PBE.

```
data_Pm12Pr5Ho2
_space_group_name_H-M_alt 'C 1 2/m 1'
_space_group_IT_number 12
_cell_length_a 18.124
_cell_length_b 11.872
_cell_length_c 6.286
_cell_angle_alpha 90.00
_cell_angle_beta 102.88
_cell_angle_gamma 90.00
loop_
_space_group_symop_operation_xyz
'x,y,z'
'-x,-y,-z'
'-x,y,-z'
'x,-y,z'
'x+1/2,y+1/2,z'
'-x+1/2,-y+1/2,-z'
'-x+1/2,y+1/2,-z'
'x+1/2,-y+1/2,z'
loop_
_atom_site_label
_atom_site_fract_x
_atom_site_fract_y
_atom_site_fract_z
_atom_site_occupancy
Pm1 0.052 0.000 0.274 1
Pm2 0.102 0.246 0.618 1
Pm3 0.119 0.500 0.997 1
Pm4 0.197 0.246 0.199 1
Pr1 0.000 0.500 0.500 1
Pr2 0.176 0.000 0.857 1
Pr3 0.215 0.500 0.554 1
Ho1 0.000 0.270 0.000 1
```

Output
Formation energy from the elements in eV/atom: 0.097
ΔE to the lowest computed polymorph in meV per atom: 0.0
Uncorrected energy in eV for the cell shown: -176.45
Theoretical density in Mg/m³: 6.988